(1)
The following is a PBE-GGA calculation of a geometry-optimized CaInSe structure, from Alexandria via LeMat-Bulk.

Calculated values
* SG: No. 156
* uncorrected formation energy: -0.80 eV per atom
* distance to the lowest polymorph of the same formula: 0.276 eV/atom

Cell: 4.079 4.079 6.150 Å, 90.00 90.00 120.00°
Element x y z (fractional)
Ca: 0.000 0.000 0.000
In: 0.667 0.333 0.408
Se: 0.333 0.667 0.738

***

(2)
The following is a PBE-GGA calculation of a geometry-optimized CaSmIn2Se4 structure, from Alexandria via LeMat-Bulk.

Calculated values
* SG: No. 10
* uncorrected formation energy: -1.19 eV per atom

Cell: 7.381 4.227 7.673 Å, 90.00 108.46 90.00°
Element x y z (fractional)
Ca: 0.000 0.000 0.000
Sm: 0.500 0.500 0.000
In: 0.000 0.500 0.500
In: 0.500 0.000 0.500
Se: 0.253 0.500 0.232
Se: 0.266 0.000 0.773
Se: 0.734 0.000 0.227
Se: 0.747 0.500 0.768

***

(3)
The following is a PBE-GGA calculation of a geometry-optimized Ca2InTeSe structure, from Alexandria via LeMat-Bulk.

Calculated values
* SG: No. 123
* uncorrected formation energy: -0.73 eV per atom

Cell: 5.524 5.524 5.794 Å, 90.00 90.00 90.00°
Element x y z (fractional)
Ca: 0.000 0.500 0.000
Ca: 0.500 0.000 0.000
In: 0.000 0.000 0.500
Te: 0.500 0.500 0.500
Se: 0.000 0.000 0.000

***

(4)
The following is a PBE-GGA calculation of a geometry-optimized CaIn2TeSe structure, from Alexandria via LeMat-Bulk.

Calculated values
* SG: No. 123
* uncorrected formation energy: -0.02 eV per atom

Cell: 5.832 5.832 5.833 Å, 90.00 90.00 90.00°
Element x y z (fractional)
Ca: 0.000 0.000 0.000
In: 0.000 0.500 0.500
In: 0.500 0.000 0.500
Te: 0.000 0.000 0.500
Se: 0.500 0.500 0.000